## i
Ta2BP after structural relaxation. Source: the Alexandria database, functional PBE.

The space group is Fm-3m (No. 225) and the conventional cell measures 6.009, 6.009 and 6.009 Å, with angles of 90.00, 90.00 and 90.00 degrees. The distinct sites, in fractional coordinates, are Ta at (0.250, 0.250, 0.250), B at (0.000, 0.000, 0.000) and P at (0.000, 0.000, 0.500).

## ii
Ta2BP after structural relaxation. Source: the Alexandria database, functional PBE.

The space group is I-42d (No. 122) and the conventional cell measures 5.276, 5.276 and 10.570 Å, with angles of 90.00, 90.00 and 90.00 degrees. The distinct sites, in fractional coordinates, are Ta at (0.198, 0.250, 0.125), B at (0.000, 0.000, 0.000) and P at (0.000, 0.000, 0.500).

Which of them is the least stable? Correct choice: ii.

## i
TcB3P after structural relaxation. Source: the Alexandria database, functional PBE.

The space group is Pm-3m (No. 221) and the conventional cell measures 4.107, 4.107 and 4.107 Å, with angles of 90.00, 90.00 and 90.00 degrees. The distinct sites, in fractional coordinates, are Tc at (0.000, 0.000, 0.000), B at (0.000, 0.000, 0.500) and P at (0.500, 0.500, 0.500).

## ii
TcB3P after structural relaxation. Source: the Alexandria database, functional PBE.

The space group is Pm-3m (No. 221) and the conventional cell measures 3.784, 3.784 and 3.784 Å, with angles of 90.00, 90.00 and 90.00 degrees. The distinct sites, in fractional coordinates, are Tc at (0.000, 0.000, 0.000), B at (0.000, 0.500, 0.500) and P at (0.500, 0.500, 0.500).

Which of them is the least stable? Correct choice: ii.

## i
BTeP2 after structural relaxation. Source: the Alexandria database, functional PBE.

The space group is Fm-3m (No. 225) and the conventional cell measures 6.391, 6.391 and 6.391 Å, with angles of 90.00, 90.00 and 90.00 degrees. The distinct sites, in fractional coordinates, are B at (0.000, 0.000, 0.000), Te at (0.000, 0.000, 0.500) and P at (0.250, 0.250, 0.250).

## ii
BTeP2 after structural relaxation. Source: the Alexandria database, functional PBE.

The space group is I-42d (No. 122) and the conventional cell measures 5.919, 5.919 and 8.095 Å, with angles of 90.00, 90.00 and 90.00 degrees. The distinct sites, in fractional coordinates, are B at (0.000, 0.000, 0.000), Te at (0.000, 0.000, 0.500) and P at (0.147, 0.250, 0.125).

Which of them is the least stable? Correct choice: i.

## i
BTeP3 after structural relaxation. Source: the Alexandria database, functional PBE.

The space group is Pm-3m (No. 221) and the conventional cell measures 4.269, 4.269 and 4.269 Å, with angles of 90.00, 90.00 and 90.00 degrees. The distinct sites, in fractional coordinates, are B at (0.000, 0.000, 0.000), Te at (0.500, 0.500, 0.500) and P at (0.000, 0.000, 0.500).

## ii
BTeP3 after structural relaxation. Source: the Alexandria database, functional PBE.

The space group is Pm-3m (No. 221) and the conventional cell measures 5.092, 5.092 and 5.092 Å, with angles of 90.00, 90.00 and 90.00 degrees. The distinct sites, in fractional coordinates, are B at (0.000, 0.000, 0.000), Te at (0.500, 0.500, 0.500) and P at (0.000, 0.500, 0.500).

Which of them is the least stable? Correct choice: ii.

## i
B3TeP after structural relaxation. Source: the Alexandria database, functional PBE.

The space group is Pm-3m (No. 221) and the conventional cell measures 4.411, 4.411 and 4.411 Å, with angles of 90.00, 90.00 and 90.00 degrees. The distinct sites, in fractional coordinates, are B at (0.000, 0.000, 0.500), Te at (0.000, 0.000, 0.000) and P at (0.500, 0.500, 0.500).

## ii
B3TeP after structural relaxation. Source: the Alexandria database, functional PBE.

The space group is Pm-3m (No. 221) and the conventional cell measures 4.033, 4.033 and 4.033 Å, with angles of 90.00, 90.00 and 90.00 degrees. The distinct sites, in fractional coordinates, are B at (0.000, 0.000, 0.500), Te at (0.500, 0.500, 0.500) and P at (0.000, 0.000, 0.000).

Which of them is the least stable? Correct choice: i.

## i
TiBTeP after structural relaxation. Source: the Alexandria database, functional PBE.

The space group is R3m (No. 160, hexagonal axes) and the conventional cell measures 3.3336, 3.3336 and 23.8621 Å, with angles of 90.00, 90.00 and 120.00 degrees. The distinct sites, in fractional coordinates, are Ti at (0.0000, 0.0000, 0.0000), B at (0.0000, 0.0000, 0.2768), Te at (0.0000, 0.0000, 0.7483) and P at (0.0000, 0.0000, 0.5825).

## ii
TiBTeP after structural relaxation. Source: the Alexandria database, functional PBE.

The space group is Cm (No. 8) and the conventional cell measures 15.089, 3.294 and 3.125 Å, with angles of 90.00, 101.49 and 90.00 degrees. The distinct sites, in fractional coordinates, are Ti at (0.000, 0.000, 0.000), B at (0.052, 0.500, 0.550), Te at (0.342, 0.000, 0.838) and P at (0.128, 0.500, 0.123).

Which of them is the least stable? Correct choice: ii.

## i
TiBTeP after structural relaxation. Source: the Alexandria database, functional PBE.

The space group is P3m1 (No. 156) and the conventional cell measures 3.2076, 3.2076 and 8.2083 Å, with angles of 90.00, 90.00 and 120.00 degrees. The distinct sites, in fractional coordinates, are Ti at (0.0000, 0.0000, 0.0000), B at (0.6667, 0.3333, 0.7982), Te at (0.6667, 0.3333, 0.2671) and P at (0.0000, 0.0000, 0.7068).

## ii
TiBTeP after structural relaxation. Source: the Alexandria database, functional PBE.

The space group is Pmm2 (No. 25) and the conventional cell measures 3.061, 3.204 and 8.115 Å, with angles of 90.00, 90.00 and 90.00 degrees. The distinct sites, in fractional coordinates, are Ti at (0.000, 0.000, 0.000), B at (0.500, 0.500, 0.099), Te at (0.500, 0.000, 0.689) and P at (0.000, 0.500, 0.244).

Which of them is the least stable? Correct choice: ii.

## i
TiBP2 after structural relaxation. Source: the Alexandria database, functional PBE.

The space group is I-42d (No. 122) and the conventional cell measures 5.802, 5.802 and 6.619 Å, with angles of 90.00, 90.00 and 90.00 degrees. The distinct sites, in fractional coordinates, are Ti at (0.000, 0.000, 0.000), B at (0.000, 0.000, 0.500) and P at (0.171, 0.250, 0.625).

## ii
TiBP2 after structural relaxation. Source: the Alexandria database, functional PBE.

The space group is Fm-3m (No. 225) and the conventional cell measures 5.978, 5.978 and 5.978 Å, with angles of 90.00, 90.00 and 90.00 degrees. The distinct sites, in fractional coordinates, are Ti at (0.000, 0.000, 0.000), B at (0.000, 0.000, 0.500) and P at (0.250, 0.250, 0.250).

Which of them is the least stable? Correct choice: ii.

## i
TlBP3 after structural relaxation. Source: the Alexandria database, functional PBE.

The space group is Pm-3m (No. 221) and the conventional cell measures 5.144, 5.144 and 5.144 Å, with angles of 90.00, 90.00 and 90.00 degrees. The distinct sites, in fractional coordinates, are Tl at (0.000, 0.000, 0.000), B at (0.500, 0.500, 0.500) and P at (0.000, 0.000, 0.500).

## ii
TlBP3 after structural relaxation. Source: the Alexandria database, functional PBE.

The space group is Pm-3m (No. 221) and the conventional cell measures 4.336, 4.336 and 4.336 Å, with angles of 90.00, 90.00 and 90.00 degrees. The distinct sites, in fractional coordinates, are Tl at (0.000, 0.000, 0.000), B at (0.500, 0.500, 0.500) and P at (0.000, 0.500, 0.500).

Which of them is the least stable? Correct choice: i.

## i
VB2P2 after structural relaxation. Source: the Alexandria database, functional PBE.

The space group is P4/mbm (No. 127) and the conventional cell measures 6.144, 6.144 and 3.062 Å, with angles of 90.00, 90.00 and 90.00 degrees. The distinct sites, in fractional coordinates, are V at (0.000, 0.000, 0.000), B at (0.095, 0.405, 0.000) and P at (0.220, 0.280, 0.500).

## ii
VB2P2 after structural relaxation. Source: the Alexandria database, functional PBE.

The space group is I4/mmm (No. 139) and the conventional cell measures 3.453, 3.453 and 8.658 Å, with angles of 90.00, 90.00 and 90.00 degrees. The distinct sites, in fractional coordinates, are V at (0.000, 0.000, 0.000), B at (0.000, 0.000, 0.407) and P at (0.000, 0.500, 0.250).

Which of them is the least stable? Correct choice: ii.

## i
VBP after structural relaxation. Source: the Alexandria database, functional PBE.

The space group is C2/m (No. 12) and the conventional cell measures 8.605, 2.990 and 5.255 Å, with angles of 90.00, 94.53 and 90.00 degrees. The distinct sites, in fractional coordinates, are V at (0.141, 0.000, 0.150), B at (0.201, 0.500, 0.493) and P at (0.071, 0.500, 0.783).

## ii
VBP after structural relaxation. Source: the Alexandria database, functional PBE.

The space group is C2/m (No. 12) and the conventional cell measures 8.009, 3.133 and 6.098 Å, with angles of 90.00, 112.44 and 90.00 degrees. The distinct sites, in fractional coordinates, are V at (0.197, 0.000, 0.174), B at (0.212, 0.000, 0.536) and P at (0.075, 0.000, 0.758).

## iii
VBP after structural relaxation. Source: the Alexandria database, functional PBE.

The space group is Cm (No. 8) and the conventional cell measures 8.580, 3.042 and 5.940 Å, with angles of 90.00, 118.37 and 90.00 degrees. The distinct sites, in fractional coordinates, are V at (0.000, 0.000, 0.000), V at (0.186, 0.000, 0.659), B at (0.054, 0.500, 0.332), B at (0.438, 0.500, 0.311), P at (0.210, 0.500, 0.988) and P at (0.345, 0.500, 0.549).

## iv
VBP after structural relaxation. Source: the Alexandria database, functional PBE.

The space group is C2/m (No. 12) and the conventional cell measures 11.056, 3.026 and 4.203 Å, with angles of 90.00, 97.72 and 90.00 degrees. The distinct sites, in fractional coordinates, are V at (0.080, 0.000, 0.288), B at (0.218, 0.500, 0.534) and P at (0.092, 0.500, 0.813).

Which of them is the least stable? Correct choice: ii.

## i
V3BP after structural relaxation. Source: the Alexandria database, functional PBE.

The space group is Pm-3m (No. 221) and the conventional cell measures 3.975, 3.975 and 3.975 Å, with angles of 90.00, 90.00 and 90.00 degrees. The distinct sites, in fractional coordinates, are V at (0.000, 0.000, 0.500), B at (0.000, 0.000, 0.000) and P at (0.500, 0.500, 0.500).

## ii
V3BP after structural relaxation. Source: the Alexandria database, functional PBE.

The space group is Cmcm (No. 63) and the conventional cell measures 6.119, 9.116 and 4.269 Å, with angles of 90.00, 90.00 and 90.00 degrees. The distinct sites, in fractional coordinates, are V at (0.000, 0.193, 0.250), V at (0.246, 0.402, 0.250), B at (0.000, 0.000, 0.000) and P at (0.000, 0.357, 0.750).

Which of them is the least stable? Correct choice: i.